No. 1
LaOsRh | PBE-GGA | relaxed

Summary:
Its calculated volume is 22.12 A^3/atom. For the density of states at the Fermi level, the calculation gives 1.95 states/eV per atom. The value obtained for the energy of formation from the pure elements is 2.86 eV per formula unit. The offset from the most stable computed form is 770 meV/atom.

The structure in CIF format:
```
data_LaOsRh
_chemical_formula_sum 'La4 Os4 Rh4'
_cell_length_a 6.4271
_cell_length_b 6.4271
_cell_length_c 6.4271
_cell_angle_alpha 90.00
_cell_angle_beta 90.00
_cell_angle_gamma 90.00
_symmetry_space_group_name_H-M 'F -4 3 m'
_symmetry_Int_Tables_number 216
_symmetry_space_group_name_Hall 'F -4 2 3'
loop_
_atom_site_label
_atom_site_fract_x
_atom_site_fract_y
_atom_site_fract_z
La1 0.0000 0.0000 0.0000
Os1 0.2500 0.2500 0.2500
Rh1 0.2500 0.2500 0.7500
```

=====

No. 2
B3CBr | PBE-GGA | relaxed

Summary:
Its calculated volume is 13.32 A^3/atom. For the density of states at the Fermi level, the calculation gives 0.59 states/eV per atom. The offset from the most stable computed form is 1577 meV/atom. For the formation energy without anion corrections, the calculation gives 18.68 eV/f.u.

The structure in CIF format:
```
data_B3CBr
_chemical_formula_sum 'B3 C1 Br1'
_cell_length_a 4.0532
_cell_length_b 4.0532
_cell_length_c 4.0532
_cell_angle_alpha 90.00
_cell_angle_beta 90.00
_cell_angle_gamma 90.00
_symmetry_space_group_name_H-M 'P m -3 m'
_symmetry_Int_Tables_number 221
_symmetry_space_group_name_Hall '-P 4 2 3'
loop_
_atom_site_label
_atom_site_fract_x
_atom_site_fract_y
_atom_site_fract_z
B1 0.0000 0.0000 0.5000
C1 0.5000 0.5000 0.5000
Br1 0.0000 0.0000 0.0000
```

=====

No. 3
TaTeOsN2 | PBE-GGA | relaxed

Summary:
Its calculated volume is 17.31 A^3/atom. For the density of states at the Fermi level, the calculation gives 0.99 states/eV per atom. The offset from the most stable computed form is 146 meV/atom. For the formation energy without anion corrections, the calculation gives 6.02 eV/f.u.

The structure in CIF format:
```
data_TaTeOsN2
_chemical_formula_sum 'Ta1 Te1 Os1 N2'
_cell_length_a 3.8800
_cell_length_b 3.8800
_cell_length_c 5.7498
_cell_angle_alpha 90.00
_cell_angle_beta 90.00
_cell_angle_gamma 90.00
_symmetry_space_group_name_H-M 'P 4/m m m'
_symmetry_Int_Tables_number 123
_symmetry_space_group_name_Hall '-P 4 2'
loop_
_atom_site_label
_atom_site_fract_x
_atom_site_fract_y
_atom_site_fract_z
Ta1 0.0000 0.0000 0.0000
Te1 0.5000 0.5000 0.0000
Os1 0.5000 0.5000 0.5000
N1 0.0000 0.5000 0.5000
```

=====

Size of the total moment, respectively: 0.7; 0.0; 1.8 μB per formula unit.
Density, respectively: 10.81; 3.10; 10.11 g/cm³.